Record 1
# CoTcRu2Au | the Alexandria database | GGA-PBEsol | optimized geometry
# Size of the total moment   1.65 μB/atom
# Symmetry   P4/mmm, No. 123
# V   21.40 Å³/atom
# E_form   2.83 eV/atom
data_CoTcRu2Au
_cell_length_a 4.736
_cell_length_b 4.736
_cell_length_c 4.772
_cell_angle_alpha 90.00
_cell_angle_beta 90.00
_cell_angle_gamma 90.00
_symmetry_space_group_name_H-M 'P 1'
_symmetry_Int_Tables_number 1
_symmetry_space_group_name_Hall 'P 1'
loop_
_atom_site_label
_atom_site_fract_x
_atom_site_fract_y
_atom_site_fract_z
Co1 0.000 0.000 0.000
Tc1 0.500 0.500 0.000
Ru1 0.000 0.500 0.500
Ru2 0.500 0.000 0.500
Au1 0.500 0.500 0.500

***

Record 2
# CoSbAu3 | the Alexandria database | GGA-PBEsol | optimized geometry
# Formation energy (no corrections)   3.6 eV/f.u.
# Size of the total moment   0.36 μB/atom
# Symmetry   Pm-3m, No. 221
# V   20.60 Å³/atom
data_CoSbAu3
_cell_length_a 4.687
_cell_length_b 4.687
_cell_length_c 4.687
_cell_angle_alpha 90.00
_cell_angle_beta 90.00
_cell_angle_gamma 90.00
_symmetry_space_group_name_H-M 'P 1'
_symmetry_Int_Tables_number 1
_symmetry_space_group_name_Hall 'P 1'
loop_
_atom_site_label
_atom_site_fract_x
_atom_site_fract_y
_atom_site_fract_z
Co1 0.000 0.000 0.000
Sb1 0.500 0.500 0.500
Au1 0.000 0.000 0.500
Au2 0.000 0.500 0.000
Au3 0.500 0.000 0.000

***

Record 3
# CoSb2Au | the Alexandria database | GGA-PBEsol | optimized geometry
# Formation energy (no corrections)   0.7 eV/f.u.
# Size of the total moment   0.00 μB/atom
# Symmetry   P4/mmm, No. 123
# V   18.67 Å³/atom
data_CoSb2Au
_cell_length_a 3.102
_cell_length_b 3.102
_cell_length_c 7.762
_cell_angle_alpha 90.00
_cell_angle_beta 90.00
_cell_angle_gamma 90.00
_symmetry_space_group_name_H-M 'P 1'
_symmetry_Int_Tables_number 1
_symmetry_space_group_name_Hall 'P 1'
loop_
_atom_site_label
_atom_site_fract_x
_atom_site_fract_y
_atom_site_fract_z
Co1 0.000 0.000 0.000
Sb1 0.500 0.500 0.208
Sb2 0.500 0.500 0.792
Au1 0.000 0.000 0.500

***

Record 4
# Co2SbAu | the Alexandria database | GGA-PBEsol | optimized geometry
# Formation energy (no corrections)   2.1 eV/f.u.
# Size of the total moment   0.80 μB/atom
# Symmetry   I-42d, No. 122
# V   16.87 Å³/atom
data_Co2SbAu
_cell_length_a 9.347
_cell_length_b 9.347
_cell_length_c 9.347
_cell_angle_alpha 156.00
_cell_angle_beta 156.00
_cell_angle_gamma 34.20
_symmetry_space_group_name_H-M 'P 1'
_symmetry_Int_Tables_number 1
_symmetry_space_group_name_Hall 'P 1'
loop_
_atom_site_label
_atom_site_fract_x
_atom_site_fract_y
_atom_site_fract_z
Co1 0.056 0.625 0.931
Co2 0.375 0.306 0.431
Co3 0.694 0.125 0.069
Co4 0.875 0.944 0.569
Sb1 0.250 0.750 0.500
Sb2 0.500 0.500 0.000
Au1 0.000 0.000 0.000
Au2 0.750 0.250 0.500

***

Record 5
# Co2SbAu | the Alexandria database | GGA-PBEsol | optimized geometry
# Formation energy (no corrections)   1.0 eV/f.u.
# Size of the total moment   0.73 μB/atom
# Symmetry   Pmm2, No. 25
# V   15.51 Å³/atom
data_Co2SbAu
_cell_length_a 2.920
_cell_length_b 3.246
_cell_length_c 6.543
_cell_angle_alpha 90.00
_cell_angle_beta 90.00
_cell_angle_gamma 90.00
_symmetry_space_group_name_H-M 'P 1'
_symmetry_Int_Tables_number 1
_symmetry_space_group_name_Hall 'P 1'
loop_
_atom_site_label
_atom_site_fract_x
_atom_site_fract_y
_atom_site_fract_z
Co1 0.000 0.000 0.000
Co2 0.500 0.500 0.164
Sb1 0.000 0.000 0.409
Au1 0.500 0.500 0.763

***

Record 6
# ScCo2Au | the Alexandria database | GGA-PBEsol | optimized geometry
# Size of the total moment   0.57 μB/atom
# Symmetry   P4/mmm, No. 123
# V   14.23 Å³/atom
# E_form   -0.03 eV/atom
data_ScCo2Au
_cell_length_a 3.193
_cell_length_b 3.193
_cell_length_c 5.582
_cell_angle_alpha 90.00
_cell_angle_beta 90.00
_cell_angle_gamma 90.00
_symmetry_space_group_name_H-M 'P 1'
_symmetry_Int_Tables_number 1
_symmetry_space_group_name_Hall 'P 1'
loop_
_atom_site_label
_atom_site_fract_x
_atom_site_fract_y
_atom_site_fract_z
Sc1 0.000 0.000 0.000
Co1 0.500 0.500 0.257
Co2 0.500 0.500 0.743
Au1 0.000 0.000 0.500

***

Record 7
# ScCoAu | the Alexandria database | GGA-PBEsol | optimized geometry
# Size of the total moment   0.09 μB/atom
# Symmetry   F-43m, No. 216
# V   17.32 Å³/atom
# E_form   -0.14 eV/atom
data_ScCoAu
_cell_length_a 4.188
_cell_length_b 4.188
_cell_length_c 4.188
_cell_angle_alpha 60.00
_cell_angle_beta 60.00
_cell_angle_gamma 60.00
_symmetry_space_group_name_H-M 'P 1'
_symmetry_Int_Tables_number 1
_symmetry_space_group_name_Hall 'P 1'
loop_
_atom_site_label
_atom_site_fract_x
_atom_site_fract_y
_atom_site_fract_z
Sc1 0.000 0.000 0.000
Co1 0.750 0.750 0.750
Au1 0.500 0.500 0.500

***

Record 8
# ScCoW2Au | the Alexandria database | GGA-PBEsol | optimized geometry
# Size of the total moment   0.16 μB/atom
# Symmetry   P4/mmm, No. 123
# V   17.49 Å³/atom
# E_form   2.13 eV/atom
data_ScCoW2Au
_cell_length_a 4.593
_cell_length_b 4.593
_cell_length_c 4.145
_cell_angle_alpha 90.00
_cell_angle_beta 90.00
_cell_angle_gamma 90.00
_symmetry_space_group_name_H-M 'P 1'
_symmetry_Int_Tables_number 1
_symmetry_space_group_name_Hall 'P 1'
loop_
_atom_site_label
_atom_site_fract_x
_atom_site_fract_y
_atom_site_fract_z
Sc1 0.000 0.000 0.000
Co1 0.000 0.000 0.500
W1 0.000 0.500 0.000
W2 0.500 0.000 0.000
Au1 0.500 0.500 0.500

***

Record 9
# CoSiAu2 | the Alexandria database | GGA-PBEsol | optimized geometry
# Formation energy (no corrections)   0.8 eV/f.u.
# Size of the total moment   0.32 μB/atom
# Symmetry   I4/mmm, No. 139
# V   14.41 Å³/atom
data_CoSiAu2
_cell_length_a 4.726
_cell_length_b 4.726
_cell_length_c 4.726
_cell_angle_alpha 131.68
_cell_angle_beta 131.68
_cell_angle_gamma 70.73
_symmetry_space_group_name_H-M 'P 1'
_symmetry_Int_Tables_number 1
_symmetry_space_group_name_Hall 'P 1'
loop_
_atom_site_label
_atom_site_fract_x
_atom_site_fract_y
_atom_site_fract_z
Co1 0.000 0.000 0.000
Si1 0.500 0.500 0.000
Au1 0.250 0.750 0.500
Au2 0.750 0.250 0.500

***

Record 10
# CoSiAu2 | the Alexandria database | GGA-PBEsol | optimized geometry
# Formation energy (no corrections)   -0.4 eV/f.u.
# Size of the total moment   0.00 μB/atom
# Symmetry   Pmm2, No. 25
# V   14.01 Å³/atom
data_CoSiAu2
_cell_length_a 2.858
_cell_length_b 2.895
_cell_length_c 6.771
_cell_angle_alpha 90.00
_cell_angle_beta 90.00
_cell_angle_gamma 90.00
_symmetry_space_group_name_H-M 'P 1'
_symmetry_Int_Tables_number 1
_symmetry_space_group_name_Hall 'P 1'
loop_
_atom_site_label
_atom_site_fract_x
_atom_site_fract_y
_atom_site_fract_z
Co1 0.000 0.000 0.000
Si1 0.500 0.500 0.147
Au1 0.000 0.000 0.413
Au2 0.500 0.500 0.725

***

Record 11
# CoSiAu2 | the Alexandria database | GGA-PBEsol | optimized geometry
# Formation energy (no corrections)   0.5 eV/f.u.
# Size of the total moment   0.00 μB/atom
# Symmetry   P4/mmm, No. 123
# V   14.17 Å³/atom
data_CoSiAu2
_cell_length_a 3.880
_cell_length_b 3.880
_cell_length_c 3.766
_cell_angle_alpha 90.00
_cell_angle_beta 90.00
_cell_angle_gamma 90.00
_symmetry_space_group_name_H-M 'P 1'
_symmetry_Int_Tables_number 1
_symmetry_space_group_name_Hall 'P 1'
loop_
_atom_site_label
_atom_site_fract_x
_atom_site_fract_y
_atom_site_fract_z
Co1 0.000 0.000 0.000
Si1 0.500 0.500 0.000
Au1 0.000 0.500 0.500
Au2 0.500 0.000 0.500

***

Record 12
# CoSiAu2 | the Alexandria database | GGA-PBEsol | optimized geometry
# Formation energy (no corrections)   0.6 eV/f.u.
# Size of the total moment   0.00 μB/atom
# Symmetry   I-4m2, No. 119
# V   14.16 Å³/atom
data_CoSiAu2
_cell_length_a 4.730
_cell_length_b 4.730
_cell_length_c 4.730
_cell_angle_alpha 132.37
_cell_angle_beta 132.37
_cell_angle_gamma 69.64
_symmetry_space_group_name_H-M 'P 1'
_symmetry_Int_Tables_number 1
_symmetry_space_group_name_Hall 'P 1'
loop_
_atom_site_label
_atom_site_fract_x
_atom_site_fract_y
_atom_site_fract_z
Co1 0.000 0.000 0.000
Si1 0.750 0.250 0.500
Au1 0.250 0.750 0.500
Au2 0.500 0.500 0.000

***

Record 13
# CoSiAu2 | the Alexandria database | GGA-PBEsol | optimized geometry
# Formation energy (no corrections)   0.8 eV/f.u.
# Size of the total moment   0.00 μB/atom
# Symmetry   C2/m, No. 12
# V   14.71 Å³/atom
data_CoSiAu2
_cell_length_a 5.338
_cell_length_b 5.338
_cell_length_c 2.845
_cell_angle_alpha 105.44
_cell_angle_beta 105.44
_cell_angle_gamma 120.58
_symmetry_space_group_name_H-M 'P 1'
_symmetry_Int_Tables_number 1
_symmetry_space_group_name_Hall 'P 1'
loop_
_atom_site_label
_atom_site_fract_x
_atom_site_fract_y
_atom_site_fract_z
Co1 0.000 0.000 0.000
Si1 0.500 0.500 0.000
Au1 0.000 0.500 0.000
Au2 0.500 0.000 0.000

***

Record 14
# SrCo2Au | the Alexandria database | GGA-PBEsol | optimized geometry
# Size of the total moment   0.72 μB/atom
# Symmetry   I4/mmm, No. 139
# V   16.89 Å³/atom
# E_form   0.57 eV/atom
data_SrCo2Au
_cell_length_a 4.908
_cell_length_b 4.908
_cell_length_c 4.908
_cell_angle_alpha 130.09
_cell_angle_beta 130.09
_cell_angle_gamma 73.27
_symmetry_space_group_name_H-M 'P 1'
_symmetry_Int_Tables_number 1
_symmetry_space_group_name_Hall 'P 1'
loop_
_atom_site_label
_atom_site_fract_x
_atom_site_fract_y
_atom_site_fract_z
Sr1 0.000 0.000 0.000
Co1 0.250 0.750 0.500
Co2 0.750 0.250 0.500
Au1 0.500 0.500 0.000

***

Record 15
# SrCoAu2 | the Alexandria database | GGA-PBEsol | optimized geometry
# Size of the total moment   0.44 μB/atom
# Symmetry   Immm, No. 71
# E above lowest polymorph   0 meV per atom
# V   21.07 Å³/atom
# E_form   0.06 eV/atom
data_SrCoAu2
_cell_length_a 5.053
_cell_length_b 5.053
_cell_length_c 5.053
_cell_angle_alpha 130.59
_cell_angle_beta 116.17
_cell_angle_gamma 84.74
_symmetry_space_group_name_H-M 'P 1'
_symmetry_Int_Tables_number 1
_symmetry_space_group_name_Hall 'P 1'
loop_
_atom_site_label
_atom_site_fract_x
_atom_site_fract_y
_atom_site_fract_z
Sr1 0.000 0.000 0.000
Co1 0.500 0.500 0.000
Au1 0.305 0.805 0.500
Au2 0.695 0.195 0.500

***

Record 16
# SrCoAu2 | the Alexandria database | GGA-PBEsol | optimized geometry
# Size of the total moment   0.23 μB/atom
# Symmetry   Cmmm, No. 65
# E above lowest polymorph   55 meV per atom
# V   18.73 Å³/atom
# E_form   0.12 eV/atom
data_SrCoAu2
_cell_length_a 4.279
_cell_length_b 4.279
_cell_length_c 4.093
_cell_angle_alpha 90.00
_cell_angle_beta 90.00
_cell_angle_gamma 90.26
_symmetry_space_group_name_H-M 'P 1'
_symmetry_Int_Tables_number 1
_symmetry_space_group_name_Hall 'P 1'
loop_
_atom_site_label
_atom_site_fract_x
_atom_site_fract_y
_atom_site_fract_z
Sr1 0.000 0.000 0.000
Co1 0.500 0.500 0.000
Au1 0.000 0.500 0.500
Au2 0.500 0.000 0.500

***

Record 17
# SrCoAu2 | the Alexandria database | GGA-PBEsol | optimized geometry
# Size of the total moment   0.41 μB/atom
# Symmetry   Pmm2, No. 25
# E above lowest polymorph   26 meV per atom
# V   19.90 Å³/atom
# E_form   0.09 eV/atom
data_SrCoAu2
_cell_length_a 3.459
_cell_length_b 3.477
_cell_length_c 6.616
_cell_angle_alpha 90.00
_cell_angle_beta 90.00
_cell_angle_gamma 90.00
_symmetry_space_group_name_H-M 'P 1'
_symmetry_Int_Tables_number 1
_symmetry_space_group_name_Hall 'P 1'
loop_
_atom_site_label
_atom_site_fract_x
_atom_site_fract_y
_atom_site_fract_z
Sr1 0.000 0.000 0.000
Co1 0.500 0.500 0.673
Au1 0.000 0.000 0.536
Au2 0.500 0.500 0.287

***

Record 18
# SrCo2Au | the Alexandria database | GGA-PBEsol | optimized geometry
# Size of the total moment   0.67 μB/atom
# Symmetry   C2/m, No. 12
# V   16.78 Å³/atom
# E_form   0.65 eV/atom
data_SrCo2Au
_cell_length_a 5.340
_cell_length_b 5.340
_cell_length_c 2.862
_cell_angle_alpha 102.39
_cell_angle_beta 102.39
_cell_angle_gamma 115.97
_symmetry_space_group_name_H-M 'P 1'
_symmetry_Int_Tables_number 1
_symmetry_space_group_name_Hall 'P 1'
loop_
_atom_site_label
_atom_site_fract_x
_atom_site_fract_y
_atom_site_fract_z
Sr1 0.000 0.000 0.000
Co1 0.000 0.500 0.500
Co2 0.500 0.000 0.500
Au1 0.500 0.500 0.000

***

Record 19
# TaCoAu | the Alexandria database | GGA-PBEsol | optimized geometry
# Size of the total moment   0.14 μB/atom
# Symmetry   F-43m, No. 216
# E above lowest polymorph   721 meV per atom
# V   17.63 Å³/atom
# E_form   0.55 eV/atom
data_TaCoAu
_cell_length_a 4.213
_cell_length_b 4.213
_cell_length_c 4.213
_cell_angle_alpha 60.00
_cell_angle_beta 60.00
_cell_angle_gamma 60.00
_symmetry_space_group_name_H-M 'P 1'
_symmetry_Int_Tables_number 1
_symmetry_space_group_name_Hall 'P 1'
loop_
_atom_site_label
_atom_site_fract_x
_atom_site_fract_y
_atom_site_fract_z
Ta1 0.000 0.000 0.000
Co1 0.250 0.250 0.250
Au1 0.750 0.750 0.750

***

Record 20
# Ta2Co2Au | the Alexandria database | GGA-PBEsol | optimized geometry
# Size of the total moment   0.00 μB/atom
# Symmetry   P4/mbm, No. 127
# V   14.22 Å³/atom
# E_form   -0.24 eV/atom
data_Ta2Co2Au
_cell_length_a 6.845
_cell_length_b 6.845
_cell_length_c 3.035
_cell_angle_alpha 90.00
_cell_angle_beta 90.00
_cell_angle_gamma 90.00
_symmetry_space_group_name_H-M 'P 1'
_symmetry_Int_Tables_number 1
_symmetry_space_group_name_Hall 'P 1'
loop_
_atom_site_label
_atom_site_fract_x
_atom_site_fract_y
_atom_site_fract_z
Ta1 0.169 0.331 0.000
Ta2 0.331 0.831 0.000
Ta3 0.669 0.169 0.000
Ta4 0.831 0.669 0.000
Co1 0.128 0.628 0.500
Co2 0.372 0.128 0.500
Co3 0.628 0.872 0.500
Co4 0.872 0.372 0.500
Au1 0.000 0.000 0.500
Au2 0.500 0.500 0.500